1.
Material: Pr6InSn
Method: DFT, GGA-PBE
State: optimized geometry

Computed properties:
As for the total energy: -4.796 eV/atom. The size of the total moment comes out at 0.1 μB/f.u. The density comes out at 7.13 g/cm3.

a = 5.012 Å, b = 5.012 Å, c = 10.007 Å
α = 90.00°, β = 90.00°, γ = 90.00°
Space group P4/mmm (No. 123)
Unique sites:
Pr: 0.000 0.000 0.000 [1 per cell]
Pr: 0.000 0.000 0.500 [1 per cell]
Pr: 0.000 0.500 0.248 [4 per cell]
In: 0.500 0.500 0.500 [1 per cell]
Sn: 0.500 0.500 0.000 [1 per cell]

2.
Material: PrInSnTe3
Method: DFT, GGA-PBE
State: optimized geometry

Computed properties:
As for the total energy: -4.052 eV/atom. The size of the total moment comes out at 0.0 μB/f.u. The density comes out at 6.61 g/cm3. As for the energy above the lowest structure with this stoichiometry: 22 meV per atom.

a = 4.538 Å, b = 15.064 Å, c = 11.123 Å
α = 90.00°, β = 90.00°, γ = 90.00°
Space group Cmcm (No. 63)
Unique sites:
Pr: 0.000 0.000 0.000 [4 per cell]
In: 0.000 0.477 0.250 [4 per cell]
Sn: 0.000 0.226 0.750 [4 per cell]
Te: 0.000 0.119 0.250 [4 per cell]
Te: 0.000 0.348 0.043 [8 per cell]

3.
Material: PrInSnTe3
Method: DFT, GGA-PBE
State: optimized geometry

Computed properties:
As for the total energy: -4.074 eV/atom. The size of the total moment comes out at 0.0 μB/f.u. The density comes out at 5.96 g/cm3. As for the energy above the lowest structure with this stoichiometry: 0 meV per atom.

a = 4.864 Å, b = 14.836 Å, c = 11.692 Å
α = 90.00°, β = 90.00°, γ = 90.00°
Space group Cmcm (No. 63)
Unique sites:
Pr: 0.000 0.000 0.000 [4 per cell]
In: 0.000 0.243 0.250 [4 per cell]
Sn: 0.000 0.478 0.750 [4 per cell]
Te: 0.000 0.105 0.750 [4 per cell]
Te: 0.000 0.356 0.544 [8 per cell]

4.
Material: Tb4PrIn5
Method: DFT, GGA-PBE
State: optimized geometry

Computed properties:
As for the total energy: -4.178 eV/atom. The size of the total moment comes out at 0.0 μB/f.u. The density comes out at 8.23 g/cm3.

a = 3.785 Å, b = 3.785 Å, c = 19.022 Å
α = 90.00°, β = 90.00°, γ = 90.00°
Space group P4/mmm (No. 123)
Unique sites:
Tb: 0.000 0.000 0.098 [2 per cell]
Tb: 0.000 0.000 0.294 [2 per cell]
Pr: 0.000 0.000 0.500 [1 per cell]
In: 0.500 0.500 0.000 [1 per cell]
In: 0.500 0.500 0.196 [2 per cell]
In: 0.500 0.500 0.392 [2 per cell]

5.
Material: TbPrIn5
Method: DFT, GGA-PBE
State: optimized geometry

Computed properties:
As for the total energy: -3.635 eV/atom. The size of the total moment comes out at 0.0 μB/f.u. The density comes out at 7.45 g/cm3.

a = 4.746 Å, b = 4.746 Å, c = 8.645 Å
α = 90.00°, β = 90.00°, γ = 90.00°
Space group P4/mmm (No. 123)
Unique sites:
Tb: 0.000 0.000 0.000 [1 per cell]
Pr: 0.000 0.000 0.500 [1 per cell]
In: 0.000 0.500 0.232 [4 per cell]
In: 0.500 0.500 0.500 [1 per cell]

6.
Material: TbPrIn2
Method: DFT, GGA-PBE
State: optimized geometry

Computed properties:
As for the total energy: -4.208 eV/atom. The size of the total moment comes out at 0.0 μB/f.u. The density comes out at 7.81 g/cm3.

a = 3.832 Å, b = 3.832 Å, c = 7.660 Å
α = 90.00°, β = 90.00°, γ = 90.00°
Space group P4/mmm (No. 123)
Unique sites:
Tb: 0.000 0.000 0.000 [1 per cell]
Pr: 0.000 0.000 0.500 [1 per cell]
In: 0.500 0.500 0.237 [2 per cell]

7.
Material: TbPrIn
Method: DFT, GGA-PBE
State: optimized geometry

Computed properties:
As for the total energy: -4.145 eV/atom. The size of the total moment comes out at 0.8 μB/f.u. The density comes out at 6.60 g/cm3. As for the energy above the lowest structure with this stoichiometry: 0 meV per atom.

a = 7.471 Å, b = 7.471 Å, c = 7.471 Å
α = 90.00°, β = 90.00°, γ = 90.00°
Space group F-43m (No. 216)
Unique sites:
Tb: 0.000 0.000 0.000 [4 per cell]
Pr: 0.000 0.000 0.500 [4 per cell]
In: 0.250 0.250 0.750 [4 per cell]

8.
Material: Pr5InTe4
Method: DFT, GGA-PBE
State: optimized geometry

Computed properties:
As for the total energy: -5.191 eV/atom. The size of the total moment comes out at 0.0 μB/f.u. The density comes out at 6.67 g/cm3.

a = 10.162 Å, b = 10.162 Å, c = 6.410 Å
α = 90.00°, β = 90.00°, γ = 90.00°
Space group I4/m (No. 87)
Unique sites:
Pr: 0.000 0.000 0.000 [2 per cell]
Pr: 0.098 0.296 0.500 [8 per cell]
In: 0.000 0.000 0.500 [2 per cell]
Te: 0.098 0.300 0.000 [8 per cell]

9.
Material: PrTlInTe3
Method: DFT, GGA-PBE
State: optimized geometry

Computed properties:
As for the total energy: -3.900 eV/atom. The size of the total moment comes out at 0.0 μB/f.u. The density comes out at 6.71 g/cm3.

a = 4.620 Å, b = 15.364 Å, c = 11.753 Å
α = 90.00°, β = 90.00°, γ = 90.00°
Space group Cmcm (No. 63)
Unique sites:
Pr: 0.000 0.000 0.000 [4 per cell]
Tl: 0.000 0.235 0.250 [4 per cell]
In: 0.000 0.468 0.750 [4 per cell]
Te: 0.000 0.094 0.750 [4 per cell]
Te: 0.000 0.357 0.547 [8 per cell]

10.
Material: PrThIn
Method: DFT, GGA-PBE
State: optimized geometry

Computed properties:
As for the total energy: -4.911 eV/atom. The size of the total moment comes out at 0.0 μB/f.u. The density comes out at 7.68 g/cm3. As for the energy above the lowest structure with this stoichiometry: 0 meV per atom.

a = 7.500 Å, b = 7.500 Å, c = 7.500 Å
α = 90.00°, β = 90.00°, γ = 90.00°
Space group F-43m (No. 216)
Unique sites:
Pr: 0.000 0.000 0.000 [4 per cell]
Th: 0.000 0.000 0.500 [4 per cell]
In: 0.250 0.250 0.250 [4 per cell]

11.
Material: PrTlIn
Method: DFT, GGA-PBE
State: optimized geometry

Computed properties:
As for the total energy: -3.483 eV/atom. The size of the total moment comes out at 0.0 μB/f.u. The density comes out at 8.05 g/cm3. As for the energy above the lowest structure with this stoichiometry: 0 meV per atom.

a = 7.242 Å, b = 7.242 Å, c = 7.242 Å
α = 90.00°, β = 90.00°, γ = 90.00°
Space group F-43m (No. 216)
Unique sites:
Pr: 0.000 0.000 0.000 [4 per cell]
Tl: 0.250 0.250 0.750 [4 per cell]
In: 0.000 0.000 0.500 [4 per cell]

12.
Material: Pr5Tl4In
Method: DFT, GGA-PBE
State: optimized geometry

Computed properties:
As for the total energy: -4.024 eV/atom. The size of the total moment comes out at 0.0 μB/f.u. The density comes out at 9.04 g/cm3.

a = 3.915 Å, b = 3.915 Å, c = 19.627 Å
α = 90.00°, β = 90.00°, γ = 90.00°
Space group P4/mmm (No. 123)
Unique sites:
Pr: 0.000 0.000 0.000 [1 per cell]
Pr: 0.000 0.000 0.201 [2 per cell]
Pr: 0.000 0.000 0.402 [2 per cell]
Tl: 0.500 0.500 0.100 [2 per cell]
Tl: 0.500 0.500 0.301 [2 per cell]
In: 0.500 0.500 0.500 [1 per cell]

Q: What is the formula in the sixth record?
A: TbPrIn2